A plane-wave DFT calculation with PBE was carried out for crystalline HfNb4Mo5 at its relaxed geometry.

Summary:
Its magnetic moment is 0.00 μB per formula unit. Its energy relative to the elements is -0.11 eV per atom.

Cell lengths 3.242, 3.242, 16.316 Å; angles 90.00, 90.00, 90.00 degrees
Space group P4/mmm (No. 123)
Inequivalent atoms, fractional coordinates:
Hf (0.000, 0.000, 0.000) x1
Nb (0.000, 0.000, 0.203) x2
Nb (0.000, 0.000, 0.401) x2
Mo (0.500, 0.500, 0.107) x2
Mo (0.500, 0.500, 0.303) x2
Mo (0.500, 0.500, 0.500) x1